CeMgAgSb | Alexandria | GGA-PBE | optimized geometry; calculated volume = 24.55 A^3/atom; symmetry = No. 216; Fermi-level density of states = 1.844 states/eV/atom; energy relative to the elements, uncorrected = -0.37 eV/atom; total magnetization = 1.20 Bohr magnetons per cell
1.0
0.000 3.662 3.662
3.662 0.000 3.662
3.662 3.662 0.000
Ce Mg Ag Sb
1 1 1 1
direct
0.000 0.000 0.000
0.500 0.500 0.500
0.750 0.750 0.750
0.250 0.250 0.250